## A
VASP calculation (PBE+U) on crystalline CuMoO2 at its relaxed geometry.

## Properties
Fermi-level density of states (states/eV/f.u.): 1.1
Size of the total moment (μB per formula unit): 0.00

a = 6.663 Å, b = 6.663 Å, c = 6.663 Å
α = 24.31°, β = 24.31°, γ = 24.31°
Fractional positions:
Cu: 0.000 0.000 0.000
Mo: 0.500 0.500 0.500
O: 0.096 0.096 0.096
O: 0.904 0.904 0.904



## B
VASP calculation (PBE+U) on crystalline CuMoO2 at its relaxed geometry.

## Properties
Fermi-level density of states (states/eV/f.u.): 2.7
Size of the total moment (μB per formula unit): 0.31

a = 6.385 Å, b = 6.385 Å, c = 6.385 Å
α = 26.93°, β = 26.93°, γ = 26.93°
Fractional positions:
Cu: 0.000 0.000 0.000
Mo: 0.500 0.500 0.500
O: 0.398 0.398 0.398
O: 0.602 0.602 0.602



Stability summary: most stable A, least stable B.



## A
VASP calculation (PBE+U) on crystalline CuMoO2 at its relaxed geometry.

## Properties
Fermi-level density of states (states/eV/f.u.): 2.6
Size of the total moment (μB per formula unit): 1.00

a = 3.828 Å, b = 3.828 Å, c = 3.828 Å
α = 60.00°, β = 60.00°, γ = 60.00°
Fractional positions:
Cu: 0.000 0.000 0.000
Mo: 0.500 0.500 0.500
O: 0.250 0.250 0.250
O: 0.750 0.750 0.750



## B
VASP calculation (PBE+U) on crystalline CuMoO2 at its relaxed geometry.

## Properties
Fermi-level density of states (states/eV/f.u.): 0.7
Size of the total moment (μB per formula unit): 2.96

a = 6.494 Å, b = 6.494 Å, c = 6.494 Å
α = 141.08°, β = 141.08°, γ = 56.21°
Fractional positions:
Cu: 0.000 0.000 0.000
Cu: 0.750 0.250 0.500
Mo: 0.250 0.750 0.500
Mo: 0.500 0.500 0.000
O: 0.131 0.625 0.006
O: 0.375 0.381 0.506
O: 0.619 0.125 0.994
O: 0.875 0.869 0.494



Stability summary: most stable B, least stable A.



## A
VASP calculation (PBE+U) on crystalline CuMoO4 at its relaxed geometry.

## Properties
Fermi-level density of states (states/eV/f.u.): 1.1
Size of the total moment (μB per formula unit): 0.87

a = 5.403 Å, b = 4.709 Å, c = 5.715 Å
α = 90.00°, β = 109.75°, γ = 90.00°
Fractional positions:
Cu: 0.000 0.000 0.000
Cu: 0.000 0.500 0.500
Mo: 0.500 0.000 0.500
Mo: 0.500 0.500 0.000
O: 0.191 0.204 0.422
O: 0.191 0.296 0.922
O: 0.350 0.701 0.678
O: 0.350 0.799 0.178
O: 0.650 0.201 0.822
O: 0.650 0.299 0.322
O: 0.809 0.704 0.078
O: 0.809 0.796 0.578



## B
VASP calculation (PBE+U) on crystalline CuMoO4 at its relaxed geometry.

## Properties
Fermi-level density of states (states/eV/f.u.): 1.7
Size of the total moment (μB per formula unit): 0.71

a = 5.816 Å, b = 5.816 Å, c = 5.816 Å
α = 141.54°, β = 141.54°, γ = 55.53°
Fractional positions:
Cu: 0.000 0.000 0.000
Mo: 0.750 0.250 0.500
O: 0.237 0.237 0.000
O: 0.560 0.060 0.500
O: 0.763 0.763 0.000
O: 0.940 0.440 0.500



## C
VASP calculation (PBE+U) on crystalline CuMoO4 at its relaxed geometry.

## Properties
Fermi-level density of states (states/eV/f.u.): 0.2
Size of the total moment (μB per formula unit): 1.01

a = 6.355 Å, b = 7.457 Å, c = 7.591 Å
α = 75.35°, β = 85.72°, γ = 72.69°
Fractional positions:
Cu: 0.185 0.160 0.191
Cu: 0.193 0.500 0.798
Cu: 0.807 0.500 0.202
Cu: 0.815 0.840 0.809
Mo: 0.216 0.636 0.247
Mo: 0.222 0.996 0.757
Mo: 0.778 0.004 0.243
Mo: 0.784 0.364 0.753
O: 0.131 0.431 0.189
O: 0.132 0.918 0.179
O: 0.140 0.759 0.842
O: 0.141 0.253 0.800
O: 0.227 0.038 0.522
O: 0.228 0.580 0.482
O: 0.495 0.583 0.173
O: 0.498 0.088 0.172
O: 0.502 0.912 0.828
O: 0.505 0.417 0.827
O: 0.772 0.420 0.518
O: 0.773 0.962 0.478
O: 0.859 0.747 0.200
O: 0.860 0.241 0.158
O: 0.868 0.082 0.821
O: 0.869 0.569 0.811



Stability summary: most stable C, least stable B.



## A
VASP calculation (PBE+U) on crystalline CuMoO4 at its relaxed geometry.

## Properties
Fermi-level density of states (states/eV/f.u.): 2.0
Size of the total moment (μB per formula unit): 0.53

a = 3.854 Å, b = 6.680 Å, c = 6.856 Å
α = 90.00°, β = 90.06°, γ = 90.00°
Fractional positions:
Cu: 0.250 0.250 0.233
Cu: 0.750 0.750 0.767
Mo: 0.251 0.750 0.146
Mo: 0.749 0.250 0.854
O: 0.250 0.250 0.893
O: 0.250 0.750 0.861
O: 0.251 0.528 0.293
O: 0.251 0.972 0.293
O: 0.749 0.028 0.707
O: 0.749 0.472 0.707
O: 0.750 0.250 0.139
O: 0.750 0.750 0.107



## B
VASP calculation (PBE+U) on crystalline CuMoO4 at its relaxed geometry.

## Properties
Fermi-level density of states (states/eV/f.u.): 0.1
Size of the total moment (μB per formula unit): 1.01

a = 8.316 Å, b = 9.590 Å, c = 10.298 Å
α = 90.00°, β = 124.32°, γ = 90.00°
Fractional positions:
Cu: 0.019 0.000 0.180
Cu: 0.019 0.500 0.680
Cu: 0.413 0.008 0.238
Cu: 0.413 0.492 0.738
Cu: 0.587 0.508 0.262
Cu: 0.587 0.992 0.762
Cu: 0.981 0.000 0.820
Cu: 0.981 0.500 0.320
Mo: 0.159 0.188 0.622
Mo: 0.159 0.312 0.122
Mo: 0.363 0.729 0.408
Mo: 0.363 0.771 0.908
Mo: 0.637 0.229 0.092
Mo: 0.637 0.271 0.592
Mo: 0.841 0.688 0.878
Mo: 0.841 0.812 0.378
O: 0.039 0.647 0.065
O: 0.039 0.853 0.565
O: 0.114 0.117 0.761
O: 0.114 0.383 0.261
O: 0.164 0.112 0.115
O: 0.164 0.388 0.615
O: 0.178 0.641 0.418
O: 0.178 0.859 0.918
O: 0.259 0.608 0.786
O: 0.259 0.892 0.286
O: 0.365 0.110 0.633
O: 0.365 0.390 0.133
O: 0.462 0.219 0.398
O: 0.462 0.281 0.898
O: 0.472 0.606 0.350
O: 0.472 0.894 0.850
O: 0.528 0.106 0.150
O: 0.528 0.394 0.650
O: 0.538 0.719 0.102
O: 0.538 0.781 0.602
O: 0.635 0.610 0.867
O: 0.635 0.890 0.367
O: 0.741 0.108 0.714
O: 0.741 0.392 0.214
O: 0.822 0.141 0.082
O: 0.822 0.359 0.582
O: 0.836 0.612 0.385
O: 0.836 0.888 0.885
O: 0.886 0.617 0.739
O: 0.886 0.883 0.239
O: 0.961 0.147 0.435
O: 0.961 0.353 0.935



Stability summary: most stable B, least stable A.



## A
VASP calculation (PBE+U) on crystalline CuMoO4 at its relaxed geometry.

## Properties
Fermi-level density of states (states/eV/f.u.): 2.1
Size of the total moment (μB per formula unit): 0.00

a = 4.820 Å, b = 4.946 Å, c = 6.061 Å
α = 86.86°, β = 79.54°, γ = 85.58°
Fractional positions:
Cu: 0.010 0.254 0.345
Cu: 0.990 0.746 0.655
Mo: 0.473 0.257 0.829
Mo: 0.527 0.743 0.171
O: 0.226 0.905 0.381
O: 0.255 0.435 0.651
O: 0.283 0.957 0.916
O: 0.288 0.429 0.123
O: 0.712 0.571 0.877
O: 0.717 0.043 0.084
O: 0.745 0.565 0.349
O: 0.774 0.095 0.619



## B
VASP calculation (PBE+U) on crystalline CuMoO4 at its relaxed geometry.

## Properties
Fermi-level density of states (states/eV/f.u.): 0.4
Size of the total moment (μB per formula unit): 1.00

a = 6.839 Å, b = 8.529 Å, c = 10.176 Å
α = 97.59°, β = 106.57°, γ = 100.54°
Fractional positions:
Cu: 0.039 0.121 0.260
Cu: 0.247 0.699 0.907
Cu: 0.451 0.288 0.514
Cu: 0.549 0.712 0.486
Cu: 0.753 0.301 0.093
Cu: 0.961 0.879 0.740
Mo: 0.012 0.735 0.393
Mo: 0.301 0.424 0.153
Mo: 0.491 0.958 0.750
Mo: 0.509 0.042 0.250
Mo: 0.699 0.576 0.847
Mo: 0.988 0.265 0.607
O: 0.001 0.915 0.318
O: 0.050 0.279 0.133
O: 0.071 0.435 0.743
O: 0.157 0.285 0.497
O: 0.243 0.568 0.047
O: 0.244 0.852 0.779
O: 0.280 0.746 0.501
O: 0.342 0.167 0.318
O: 0.342 0.934 0.088
O: 0.431 0.529 0.330
O: 0.434 0.103 0.649
O: 0.471 0.315 0.093
O: 0.529 0.685 0.907
O: 0.566 0.897 0.351
O: 0.569 0.471 0.670
O: 0.658 0.066 0.912
O: 0.658 0.833 0.682
O: 0.720 0.254 0.499
O: 0.756 0.148 0.221
O: 0.757 0.432 0.953
O: 0.843 0.715 0.503
O: 0.929 0.565 0.257
O: 0.950 0.721 0.867
O: 0.999 0.085 0.682



Stability summary: most stable B, least stable A.



## A
VASP calculation (PBE+U) on crystalline Cu3Mo2O9 at its relaxed geometry.

## Properties
Fermi-level density of states (states/eV/f.u.): 2.9
Size of the total moment (μB per formula unit): 1.01

a = 7.394 Å, b = 8.053 Å, c = 8.252 Å
α = 65.23°, β = 89.57°, γ = 66.30°
Fractional positions:
Cu: 0.077 0.147 0.482
Cu: 0.127 0.783 0.900
Cu: 0.296 0.911 0.270
Cu: 0.704 0.089 0.730
Cu: 0.873 0.217 0.100
Cu: 0.923 0.853 0.518
Mo: 0.202 0.282 0.812
Mo: 0.437 0.327 0.293
Mo: 0.563 0.673 0.707
Mo: 0.798 0.718 0.188
O: 0.038 0.015 0.343
O: 0.086 0.282 0.622
O: 0.124 0.536 0.775
O: 0.137 0.134 0.029
O: 0.258 0.589 0.153
O: 0.304 0.171 0.361
O: 0.379 0.768 0.829
O: 0.435 0.694 0.510
O: 0.468 0.171 0.830
O: 0.532 0.829 0.170
O: 0.565 0.306 0.490
O: 0.621 0.232 0.171
O: 0.696 0.829 0.639
O: 0.742 0.411 0.847
O: 0.863 0.866 0.971
O: 0.876 0.464 0.225
O: 0.914 0.718 0.378
O: 0.962 0.985 0.657



## B
VASP calculation (PBE+U) on crystalline Cu3Mo2O9 at its relaxed geometry.

## Properties
Fermi-level density of states (states/eV/f.u.): 3.5
Size of the total moment (μB per formula unit): 1.40

a = 7.761 Å, b = 6.905 Å, c = 14.986 Å
α = 90.00°, β = 90.00°, γ = 90.00°
Fractional positions:
Cu: 0.000 0.000 0.000
Cu: 0.000 0.500 0.000
Cu: 0.179 0.250 0.145
Cu: 0.213 0.750 0.435
Cu: 0.287 0.250 0.935
Cu: 0.321 0.750 0.645
Cu: 0.500 0.000 0.500
Cu: 0.500 0.500 0.500
Cu: 0.679 0.250 0.355
Cu: 0.713 0.750 0.065
Cu: 0.787 0.250 0.565
Cu: 0.821 0.750 0.855
Mo: 0.178 0.250 0.386
Mo: 0.221 0.250 0.672
Mo: 0.279 0.750 0.172
Mo: 0.322 0.750 0.886
Mo: 0.678 0.250 0.114
Mo: 0.721 0.250 0.828
Mo: 0.779 0.750 0.328
Mo: 0.822 0.750 0.614
O: 0.017 0.250 0.613
O: 0.046 0.750 0.600
O: 0.089 0.250 0.022
O: 0.157 0.534 0.140
O: 0.157 0.966 0.140
O: 0.182 0.250 0.787
O: 0.229 0.533 0.940
O: 0.229 0.967 0.940
O: 0.231 0.250 0.271
O: 0.269 0.750 0.771
O: 0.271 0.033 0.440
O: 0.271 0.467 0.440
O: 0.318 0.750 0.287
O: 0.343 0.034 0.640
O: 0.343 0.466 0.640
O: 0.411 0.750 0.522
O: 0.454 0.250 0.100
O: 0.483 0.750 0.113
O: 0.517 0.250 0.887
O: 0.546 0.750 0.900
O: 0.589 0.250 0.478
O: 0.657 0.534 0.360
O: 0.657 0.966 0.360
O: 0.682 0.250 0.713
O: 0.729 0.533 0.560
O: 0.729 0.967 0.560
O: 0.731 0.250 0.229
O: 0.769 0.750 0.729
O: 0.771 0.033 0.060
O: 0.771 0.467 0.060
O: 0.818 0.750 0.213
O: 0.843 0.034 0.860
O: 0.843 0.466 0.860
O: 0.911 0.750 0.978
O: 0.954 0.250 0.400
O: 0.983 0.750 0.387



Stability summary: most stable A, least stable B.



## A
VASP calculation (PBE+U) on crystalline Cu3MoO at its relaxed geometry.

## Properties
Fermi-level density of states (states/eV/f.u.): 1.9
Size of the total moment (μB per formula unit): 4.46

a = 4.107 Å, b = 4.107 Å, c = 4.107 Å
α = 90.00°, β = 90.00°, γ = 90.00°
Fractional positions:
Cu: 0.000 0.000 0.500
Cu: 0.000 0.500 0.000
Cu: 0.500 0.000 0.000
Mo: 0.500 0.500 0.500
O: 0.000 0.000 0.000



## B
VASP calculation (PBE+U) on crystalline Cu3MoO at its relaxed geometry.

## Properties
Fermi-level density of states (states/eV/f.u.): 3.7
Size of the total moment (μB per formula unit): 0.00

a = 4.698 Å, b = 4.698 Å, c = 4.698 Å
α = 90.00°, β = 90.00°, γ = 90.00°
Fractional positions:
Cu: 0.000 0.000 0.500
Cu: 0.000 0.500 0.000
Cu: 0.500 0.000 0.000
Mo: 0.000 0.000 0.000
O: 0.500 0.500 0.500



Stability summary: most stable A, least stable B.



## A
VASP calculation (PBE+U) on crystalline CuMoP2O at its relaxed geometry.

## Properties
Fermi-level density of states (states/eV/f.u.): 2.8
Size of the total moment (μB per formula unit): 0.52

a = 4.836 Å, b = 4.836 Å, c = 3.761 Å
α = 90.00°, β = 90.00°, γ = 90.00°
Fractional positions:
Cu: 0.000 0.000 0.000
Mo: 0.500 0.500 0.500
P: 0.000 0.500 0.500
P: 0.500 0.000 0.500
O: 0.500 0.500 0.000



## B
VASP calculation (PBE+U) on crystalline CuMoP2O at its relaxed geometry.

## Properties
Fermi-level density of states (states/eV/f.u.): 3.5
Size of the total moment (μB per formula unit): 2.88

a = 4.661 Å, b = 4.661 Å, c = 3.574 Å
α = 90.00°, β = 90.00°, γ = 90.00°
Fractional positions:
Cu: 0.000 0.000 0.000
Mo: 0.500 0.500 0.500
P: 0.000 0.500 0.000
P: 0.500 0.000 0.000
O: 0.000 0.000 0.500



Stability summary: most stable A, least stable B.